Material: YBi2As2
Method: DFT, PBE
State: relaxed

Cell: 3.9068 3.9068 9.5202 Å, 78.16 78.16 90.00°
Positions (direct):
As (0.7500, 0.2500, 0.5000)
As (0.2500, 0.7500, 0.5000)
Y (0.0000, 0.0000, 0.0000)
Bi (0.4035, 0.4035, 0.1930)
Bi (0.5965, 0.5965, 0.8070)

Values from the calculation:
D(E_F) ... 0.984 states/eV per atom
Distance to the lowest polymorph of the same formula ... 357.2 meV per atom
Symmetry ... No. 139
ΔE_f ... -23 meV per atom

=====

Material: Nd2AlGa4Pt3
Method: DFT, PBE
State: relaxed

Cell: 4.2477 4.2477 10.8103 Å, 90.00 90.00 90.00°
Positions (direct):
Ga (0.5000, 0.0000, 0.6397)
Pt (0.0000, 0.0000, 0.5000)
Nd (0.5000, 0.0000, 0.2445)
Ga (0.0000, 0.5000, 0.3603)
Pt (0.5000, 0.0000, 0.8692)
Ga (0.5000, 0.5000, 0.0000)
Ga (0.0000, 0.0000, 0.0000)
Pt (0.0000, 0.5000, 0.1308)
Nd (0.0000, 0.5000, 0.7555)
Al (0.5000, 0.5000, 0.5000)

Values from the calculation:
D(E_F) ... 0.576 states/eV per atom
Symmetry ... No. 115
ΔE_f ... -894 meV per atom

=====

Material: HfMg6Ni
Method: DFT, PBE
State: relaxed

Cell: 6.3337 6.3337 4.8108 Å, 90.00 90.00 122.66°
Positions (direct):
Mg (0.6753, 0.3247, 0.0000)
Ni (0.1946, 0.8054, 0.0000)
Mg (0.1770, 0.3358, 0.0000)
Mg (0.6642, 0.8230, 0.0000)
Mg (0.8287, 0.6811, 0.5000)
Mg (0.3189, 0.1713, 0.5000)
Mg (0.8338, 0.1662, 0.5000)
Hf (0.3074, 0.6926, 0.5000)

Values from the calculation:
D(E_F) ... 0.475 states/eV per atom
Distance to the lowest polymorph of the same formula ... 0.0 meV per atom
Symmetry ... No. 38
ΔE_f ... 65 meV per atom

=====

Which of these has the highest ΔE_f? HfMg6Ni

=====

What is the ΔE_f in the third record? 65 meV per atom

=====

Which value of D(E_F) does entry 2 give? 0.576 states/eV per atom